No. 1
RbTiTl2 (PBE, optimized geometry); size of the total moment = 0.1 μB/cell; calculated volume = 118 Å³ per cell; space-group type = No. 225
1.0
0.0000 3.8931 3.8931
3.8931 0.0000 3.8931
3.8931 3.8931 0.0000
Tl Rb Ti
2 1 1
direct
0.2500 0.2500 0.2500
0.7500 0.7500 0.7500
0.5000 0.5000 0.5000
0.0000 0.0000 0.0000


No. 2
RbTiTl (PBE, optimized geometry); size of the total moment = 0.0 μB/cell; calculated volume = 209 Å³ per cell; space-group type = No. 1
1.0
3.7911 -0.0139 0.0635
-1.3859 14.7357 -0.0025
-0.4199 -0.4895 3.7337
Ti Tl Rb
2 2 2
direct
0.7356 0.3292 0.3798
0.2489 0.3603 0.8956
0.6728 0.1781 0.8043
0.8132 0.5113 0.9735
0.3891 0.6892 0.5632
0.0965 0.0001 0.2147


No. 3
RbTiTl (PBE, optimized geometry); size of the total moment = 4.0 μB/cell; calculated volume = 217 Å³ per cell; space-group type = No. 187
1.0
-4.8297 -0.5249 2.3925
3.3630 -4.2359 -0.2691
3.4606 2.2720 7.4843
Tl Ti Rb
2 2 2
direct
0.3333 0.6667 0.3029
0.3333 0.6667 0.6971
0.0000 0.0000 0.6515
0.0000 0.0000 0.3485
0.6667 0.3333 0.5000
0.6667 0.3333 0.0000


no.,ΔE to the lowest computed polymorph (eV/f.u.),formation energy from the elements (eV per atom),DOS at the Fermi energy (states/eV per atom)
1,0.25,0.5915,2.812
2,0.33,0.2871,0.888
3,1.51,0.6788,0.398